## P
This record from the Alexandria database describes a geometry-optimized K2Hg5Pd structure. The functional is GGA-PBE.

Properties
The value obtained for the total magnetization is 0.000 μB/f.u. The density of states at the Fermi level comes out at 3.049 states/eV/f.u.

abc: 6.806 6.806 7.545
angles: 116.81 116.82 90.00
Fractional positions:
Hg1 0.277 0.781 0.057
Hg2 0.277 0.277 0.057
Hg3 0.781 0.277 0.057
Hg4 0.781 0.781 0.057
Hg5 0.679 0.679 0.359
K1 0.785 0.285 0.571
K2 0.285 0.785 0.571
Pd1 0.912 0.912 0.824

---

## Q
This record from the Alexandria database describes a geometry-optimized K2Hg5Pd structure. The functional is GGA-PBE.

Properties
The value obtained for the total magnetization is 0.000 μB/f.u. The density of states at the Fermi level comes out at 2.841 states/eV/f.u.

abc: 6.988 9.002 15.969
angles: 90.00 90.00 90.00
Fractional positions:
K1 0.250 0.953 0.817
K2 0.250 0.169 0.452
K3 0.250 0.453 0.683
K4 0.750 0.831 0.548
K5 0.750 0.047 0.183
K6 0.750 0.547 0.317
K7 0.750 0.331 0.952
K8 0.250 0.669 0.048
Pd1 0.250 0.207 0.059
Pd2 0.250 0.707 0.441
Pd3 0.750 0.793 0.941
Pd4 0.750 0.293 0.559
Hg1 0.500 0.000 0.000
Hg2 0.750 0.164 0.400
Hg3 0.999 0.884 0.348
Hg4 0.250 0.836 0.600
Hg5 0.501 0.884 0.348
Hg6 0.750 0.921 0.780
Hg7 0.250 0.336 0.900
Hg8 0.500 0.500 0.500
Hg9 0.750 0.664 0.100
Hg10 0.499 0.616 0.848
Hg11 0.001 0.616 0.848
Hg12 0.501 0.384 0.152
Hg13 0.250 0.579 0.280
Hg14 0.001 0.116 0.652
Hg15 0.999 0.384 0.152
Hg16 0.250 0.079 0.220
Hg17 0.499 0.116 0.652
Hg18 0.750 0.421 0.720
Hg19 0.000 0.500 0.500
Hg20 0.000 0.000 0.000

---

Result of the stability comparison: P is the least stable of them.

---

## P
This record from the Alexandria database describes a geometry-optimized KRb2HgPd structure. The functional is GGA-PBE.

Properties
The value obtained for the total magnetization is 0.000 μB/f.u. The density of states at the Fermi level comes out at 2.432 states/eV/f.u.

abc: 6.096 5.069 8.615
angles: 107.11 110.72 90.00
Fractional positions:
Rb1 0.216 0.216 0.433
Rb2 0.947 0.947 0.894
Hg1 0.704 0.704 0.409
Pd1 0.625 0.125 0.250
K1 0.490 0.490 0.981

---

## Q
This record from the Alexandria database describes a geometry-optimized KRb2HgPd structure. The functional is GGA-PBE.

Properties
The value obtained for the total magnetization is 0.000 μB/f.u. The density of states at the Fermi level comes out at 2.313 states/eV/f.u.

abc: 6.613 6.613 5.409
angles: 90.00 90.00 90.00
Fractional positions:
K1 0.500 0.500 0.500
Hg1 0.000 0.000 0.500
Rb1 0.500 0.000 0.000
Rb2 0.000 0.500 0.000
Pd1 0.000 0.000 0.000

---

Result of the stability comparison: P is the least stable of them.

---

## P
This record from the Alexandria database describes a geometry-optimized KRbHg2Pd structure. The functional is GGA-PBE.

Properties
The value obtained for the total magnetization is 0.000 μB/f.u. The density of states at the Fermi level comes out at 3.147 states/eV/f.u.

abc: 5.478 5.478 6.001
angles: 90.00 90.00 90.00
Fractional positions:
Hg1 0.000 0.500 0.000
Hg2 0.500 0.000 0.000
K1 0.500 0.500 0.500
Rb1 0.000 0.000 0.500
Pd1 0.000 0.000 0.000

---

## Q
This record from the Alexandria database describes a geometry-optimized KRbHg2Pd structure. The functional is GGA-PBE.

Properties
The value obtained for the total magnetization is 0.000 μB/f.u. The density of states at the Fermi level comes out at 2.967 states/eV/f.u.

abc: 5.488 5.488 5.834
angles: 90.00 90.00 90.00
Fractional positions:
Hg1 0.500 0.000 0.000
Hg2 0.000 0.500 0.000
Rb1 0.500 0.500 0.500
K1 0.000 0.000 0.500
Pd1 0.000 0.000 0.000

---

Result of the stability comparison: P is the least stable of them.